# BaRhBr

A geometry-optimized BaRhBr structure (PBEsol, Alexandria via LeMat-Bulk).

Values from the calculation:
The value obtained for the size of the total moment is 0.000 μB per cell. The uncorrected formation energy is -75 meV/atom. The calculation puts the total energy at -4.127 eV/atom. For the density of states at the Fermi level, the calculation gives 2.5 states/eV/cell. The space-group type is F-43m (216).

a = 4.9000 Å, b = 4.9000 Å, c = 4.9000 Å
α = 60.00°, β = 60.00°, γ = 60.00°
Fractional coordinates of all 3 atoms:
Br (0.7500, 0.7500, 0.7500)
Ba (0.5000, 0.5000, 0.5000)
Rh (0.0000, 0.0000, 0.0000)

=====

# Ba3RuBr

A geometry-optimized Ba3RuBr structure (PBEsol, Alexandria via LeMat-Bulk).

Values from the calculation:
The value obtained for the size of the total moment is 0.325 μB per cell. The uncorrected formation energy is 387 meV/atom. The calculation puts the total energy at -3.310 eV/atom. For the density of states at the Fermi level, the calculation gives 9.1 states/eV/cell. The space-group type is Pm-3m (221).

a = 5.9915 Å, b = 5.9915 Å, c = 5.9915 Å
α = 90.00°, β = 90.00°, γ = 90.00°
Each line ends with the local moment (μB).
Fractional coordinates of all 5 atoms:
Ba (0.0000, 0.5000, 0.0000)  -0.15
Ba (0.5000, 0.0000, 0.0000)  -0.15
Br (0.0000, 0.0000, 0.0000)  -0.01
Ba (0.0000, 0.0000, 0.5000)  -0.15
Ru (0.5000, 0.5000, 0.5000)  1.84

=====

# Ba2RuBr

A geometry-optimized Ba2RuBr structure (PBEsol, Alexandria via LeMat-Bulk).

Values from the calculation:
The value obtained for the size of the total moment is 0.001 μB per cell. The uncorrected formation energy is -390 meV/atom. The calculation puts the total energy at -4.475 eV/atom. As for the energy relative to the lowest polymorph listed for this composition: 0 meV/atom. For the density of states at the Fermi level, the calculation gives 3.1 states/eV/cell. The space-group type is P4/mmm (123).

a = 3.6915 Å, b = 3.6915 Å, c = 8.4758 Å
α = 90.00°, β = 90.00°, γ = 90.00°
Fractional coordinates of all 4 atoms:
Ru (0.5000, 0.5000, 0.5000)
Ba (0.0000, 0.0000, 0.2778)
Ba (0.0000, 0.0000, 0.7222)
Br (0.5000, 0.5000, 0.0000)

=====

# Ba2SrRuBr

A geometry-optimized Ba2SrRuBr structure (PBEsol, Alexandria via LeMat-Bulk).

Values from the calculation:
The value obtained for the size of the total moment is 0.000 μB per cell. The uncorrected formation energy is -192 meV/atom. The calculation puts the total energy at -3.829 eV/atom. For the density of states at the Fermi level, the calculation gives 4.0 states/eV/cell. The space-group type is P4/mmm (123).

a = 5.7925 Å, b = 5.7953 Å, c = 5.7953 Å
α = 90.00°, β = 90.00°, γ = 90.00°
Fractional coordinates of all 5 atoms:
Ba (0.0000, 0.0000, 0.5000)
Sr (0.5000, 0.0000, 0.0000)
Ba (0.0000, 0.5000, 0.0000)
Br (0.5000, 0.5000, 0.5000)
Ru (0.0000, 0.0000, 0.0000)

=====

# BaSb3Br

A geometry-optimized BaSb3Br structure (PBEsol, Alexandria via LeMat-Bulk).

Values from the calculation:
The value obtained for the size of the total moment is 0.001 μB per cell. The uncorrected formation energy is 84 meV/atom. The calculation puts the total energy at -3.454 eV/atom. For the density of states at the Fermi level, the calculation gives 4.9 states/eV/cell. The space-group type is Pm-3m (221).

a = 5.5696 Å, b = 5.5696 Å, c = 5.5696 Å
α = 90.00°, β = 90.00°, γ = 90.00°
Fractional coordinates of all 5 atoms:
Sb (0.0000, 0.0000, 0.5000)
Sb (0.5000, 0.0000, 0.0000)
Br (0.0000, 0.0000, 0.0000)
Ba (0.5000, 0.5000, 0.5000)
Sb (0.0000, 0.5000, 0.0000)

=====

# BaSbTe2Br

A geometry-optimized BaSbTe2Br structure (PBEsol, Alexandria via LeMat-Bulk).

Values from the calculation:
The value obtained for the size of the total moment is 0.000 μB per cell. The uncorrected formation energy is -169 meV/atom. The calculation puts the total energy at -3.295 eV/atom. For the density of states at the Fermi level, the calculation gives 5.1 states/eV/cell. The space-group type is P4/mmm (123).

a = 5.5253 Å, b = 5.5970 Å, c = 5.5970 Å
α = 90.00°, β = 90.00°, γ = 90.00°
Fractional coordinates of all 5 atoms:
Te (0.0000, 0.0000, 0.5000)
Sb (0.5000, 0.0000, 0.0000)
Br (0.0000, 0.0000, 0.0000)
Te (0.0000, 0.5000, 0.0000)
Ba (0.5000, 0.5000, 0.5000)